1.
Here is an optimized crystal structure of Rb3TlGe from Alexandria. Energies are from PBE.

a = 6.855 Å, b = 6.855 Å, c = 6.855 Å
α = 90.00°, β = 90.00°, γ = 90.00°
Fractional coordinates of all 5 atoms:
1 Rb 0.000 0.000 0.500
2 Rb 0.000 0.500 0.000
3 Rb 0.500 0.000 0.000
4 Tl 0.500 0.500 0.500
5 Ge 0.000 0.000 0.000

Output
calculated total energy: -8.33 eV per cell
density of states at the Fermi level: 1.238 states/eV/atom
ΔE_f: 0.312 eV/atom
energy relative to the lowest polymorph listed for this composition: 0.000 eV/atom
calculated volume: 64.42 A^3/atom

2.
Here is an optimized crystal structure of Sm6HIr2I3 from Alexandria. Energies are from PBE.

a = 7.098 Å, b = 7.098 Å, c = 8.377 Å
α = 98.15°, β = 98.15°, γ = 119.90°
Fractional coordinates of all 12 atoms:
1 Sm 0.103 0.439 0.816
2 Sm 0.225 0.225 0.184
3 Sm 0.439 0.103 0.816
4 Sm 0.561 0.897 0.184
5 Sm 0.775 0.775 0.816
6 Sm 0.897 0.561 0.184
7 H 0.500 0.500 0.000
8 Ir 0.167 0.833 0.000
9 Ir 0.833 0.167 0.000
10 I 0.000 0.000 0.500
11 I 0.332 0.668 0.500
12 I 0.668 0.332 0.500

Output
calculated total energy: -63.94 eV per cell
density of states at the Fermi level: 0.542 states/eV/atom
calculated volume: 29.24 A^3/atom

3.
Here is an optimized crystal structure of VPt2Au from Alexandria. Energies are from PBE.

a = 7.112 Å, b = 7.112 Å, c = 5.444 Å
α = 90.00°, β = 90.00°, γ = 90.00°
Fractional coordinates of all 16 atoms:
1 V 0.000 0.000 0.000
2 V 0.000 0.500 0.250
3 V 0.500 0.000 0.750
4 V 0.500 0.500 0.500
5 Pt 0.213 0.250 0.125
6 Pt 0.250 0.713 0.375
7 Pt 0.250 0.787 0.875
8 Pt 0.287 0.250 0.625
9 Pt 0.713 0.750 0.625
10 Pt 0.750 0.213 0.875
11 Pt 0.750 0.287 0.375
12 Pt 0.787 0.750 0.125
13 Au 0.000 0.000 0.500
14 Au 0.000 0.500 0.750
15 Au 0.500 0.000 0.250
16 Au 0.500 0.500 0.000

Output
calculated total energy: -97.01 eV per cell
density of states at the Fermi level: 0.917 states/eV/atom
ΔE_f: 0.056 eV/atom
energy relative to the lowest polymorph listed for this composition: 0.427 eV/atom
calculated volume: 17.21 A^3/atom

4.
Here is an optimized crystal structure of Sn6AsP2Br3 from Alexandria. Energies are from PBE.

a = 7.287 Å, b = 7.287 Å, c = 7.783 Å
α = 98.97°, β = 98.97°, γ = 120.03°
Fractional coordinates of all 12 atoms:
1 Sn 0.091 0.432 0.795
2 Sn 0.227 0.227 0.206
3 Sn 0.432 0.091 0.795
4 Sn 0.568 0.909 0.205
5 Sn 0.773 0.773 0.794
6 Sn 0.909 0.568 0.205
7 As 0.500 0.500 0.000
8 P 0.167 0.833 0.000
9 P 0.833 0.167 0.000
10 Br 0.000 0.000 0.500
11 Br 0.335 0.665 0.500
12 Br 0.665 0.335 0.500

Output
calculated total energy: -47.53 eV per cell
density of states at the Fermi level: 0.167 states/eV/atom
calculated volume: 28.33 A^3/atom
ΔE_f (raw): -0.252 eV/atom

5.
Here is an optimized crystal structure of RbIn2PtRh from Alexandria. Energies are from PBE.

a = 5.190 Å, b = 5.190 Å, c = 5.303 Å
α = 90.00°, β = 90.00°, γ = 90.00°
Fractional coordinates of all 5 atoms:
1 Rb 0.000 0.000 0.000
2 In 0.000 0.500 0.500
3 In 0.500 0.000 0.500
4 Pt 0.500 0.500 0.500
5 Rh 0.500 0.500 0.000

Output
calculated total energy: -18.72 eV per cell
density of states at the Fermi level: 0.864 states/eV/atom
ΔE_f: 0.224 eV/atom
calculated volume: 28.57 A^3/atom

6.
Here is an optimized crystal structure of Hg2PtBr from Alexandria. Energies are from PBE.

a = 3.351 Å, b = 6.306 Å, c = 9.292 Å
α = 90.00°, β = 90.00°, γ = 90.00°
Fractional coordinates of all 8 atoms:
1 Hg 0.000 0.000 0.000
2 Hg 0.000 0.500 0.271
3 Hg 0.500 0.000 0.271
4 Hg 0.500 0.500 0.000
5 Pt 0.000 0.000 0.501
6 Pt 0.500 0.500 0.501
7 Br 0.000 0.500 0.707
8 Br 0.500 0.000 0.707

Output
calculated total energy: -14.73 eV per cell
density of states at the Fermi level: 0.531 states/eV/atom
energy relative to the lowest polymorph listed for this composition: 0.242 eV/atom
calculated volume: 24.55 A^3/atom
ΔE_f (raw): 0.238 eV/atom

7.
Here is an optimized crystal structure of LiNpAg2Br6 from Alexandria. Energies are from PBE.

a = 7.259 Å, b = 7.224 Å, c = 13.095 Å
α = 90.00°, β = 122.48°, γ = 90.00°
Fractional coordinates of all 20 atoms:
1 Li 0.000 0.000 0.000
2 Li 0.000 0.500 0.500
3 Np 0.500 0.000 0.500
4 Np 0.500 0.500 0.000
5 Ag 0.256 0.030 0.740
6 Ag 0.256 0.470 0.240
7 Ag 0.744 0.530 0.760
8 Ag 0.744 0.970 0.260
9 Br 0.092 0.179 0.434
10 Br 0.092 0.321 0.934
11 Br 0.251 0.664 0.421
12 Br 0.251 0.836 0.921
13 Br 0.367 0.098 0.251
14 Br 0.367 0.402 0.751
15 Br 0.633 0.598 0.249
16 Br 0.633 0.902 0.749
17 Br 0.749 0.164 0.079
18 Br 0.749 0.336 0.579
19 Br 0.908 0.679 0.066
20 Br 0.908 0.821 0.566

Output
calculated total energy: -79.56 eV per cell
density of states at the Fermi level: 0.480 states/eV/atom
calculated volume: 28.97 A^3/atom
ΔE_f (raw): -0.918 eV/atom

8.
Here is an optimized crystal structure of ErTm2B6 from Alexandria. Energies are from PBE.

a = 5.646 Å, b = 5.646 Å, c = 3.795 Å
α = 90.00°, β = 90.00°, γ = 120.00°
Fractional coordinates of all 9 atoms:
1 Er 0.000 0.000 0.000
2 Tm 0.333 0.667 0.000
3 Tm 0.667 0.333 0.000
4 B 0.000 0.334 0.500
5 B 0.000 0.666 0.500
6 B 0.334 0.000 0.500
7 B 0.334 0.334 0.500
8 B 0.666 0.000 0.500
9 B 0.666 0.666 0.500

Output
calculated total energy: -59.38 eV per cell
density of states at the Fermi level: 0.299 states/eV/atom
ΔE_f: -0.646 eV/atom
calculated volume: 11.64 A^3/atom

9.
Here is an optimized crystal structure of Zn2Ga2Ge from Alexandria. Energies are from PBE.

a = 3.956 Å, b = 3.956 Å, c = 11.712 Å
α = 90.00°, β = 90.00°, γ = 90.00°
Fractional coordinates of all 10 atoms:
1 Zn 0.000 0.500 0.250
2 Zn 0.000 0.500 0.750
3 Zn 0.500 0.000 0.250
4 Zn 0.500 0.000 0.750
5 Ga 0.000 0.000 0.105
6 Ga 0.000 0.000 0.895
7 Ga 0.500 0.500 0.395
8 Ga 0.500 0.500 0.605
9 Ge 0.000 0.000 0.500
10 Ge 0.500 0.500 0.000

Output
calculated total energy: -24.84 eV per cell
density of states at the Fermi level: 0.472 states/eV/atom
ΔE_f: 0.160 eV/atom
energy relative to the lowest polymorph listed for this composition: 0.014 eV/atom
calculated volume: 18.33 A^3/atom

10.
Here is an optimized crystal structure of La5Pr4Dy from Alexandria. Energies are from PBE.

a = 9.066 Å, b = 9.066 Å, c = 11.822 Å
α = 109.08°, β = 109.08°, γ = 23.29°
Fractional coordinates of all 10 atoms:
1 La 0.000 0.000 0.000
2 La 0.295 0.295 0.393
3 La 0.308 0.308 0.913
4 La 0.692 0.692 0.087
5 La 0.705 0.705 0.607
6 Pr 0.106 0.106 0.798
7 Pr 0.415 0.415 0.705
8 Pr 0.585 0.585 0.295
9 Pr 0.894 0.894 0.202
10 Dy 0.000 0.000 0.500

Output
calculated total energy: -48.02 eV per cell
density of states at the Fermi level: 1.483 states/eV/atom
ΔE_f: 0.034 eV/atom
energy relative to the lowest polymorph listed for this composition: 0.000 eV/atom
calculated volume: 36.21 A^3/atom

11.
Here is an optimized crystal structure of SrIr2Se from Alexandria. Energies are from PBE.

a = 2.990 Å, b = 4.939 Å, c = 5.084 Å
α = 90.00°, β = 90.00°, γ = 90.00°
Fractional coordinates of all 4 atoms:
1 Sr 0.000 0.000 0.000
2 Ir 0.000 0.500 0.500
3 Ir 0.500 0.000 0.500
4 Se 0.500 0.500 0.000

Output
calculated total energy: -22.08 eV per cell
density of states at the Fermi level: 1.079 states/eV/atom
calculated volume: 18.77 A^3/atom
ΔE_f (raw): 0.203 eV/atom

12.
Here is an optimized crystal structure of Pr12Tl6Ag from Alexandria. Energies are from PBE.

a = 8.441 Å, b = 8.441 Å, c = 8.441 Å
α = 90.90°, β = 90.90°, γ = 90.90°
Fractional coordinates of all 19 atoms:
1 Pr 0.056 0.109 0.364
2 Pr 0.109 0.364 0.056
3 Pr 0.191 0.463 0.567
4 Pr 0.364 0.056 0.109
5 Pr 0.433 0.809 0.537
6 Pr 0.463 0.567 0.191
7 Pr 0.537 0.433 0.809
8 Pr 0.567 0.191 0.463
9 Pr 0.636 0.944 0.891
10 Pr 0.809 0.537 0.433
11 Pr 0.891 0.636 0.944
12 Pr 0.944 0.891 0.636
13 Tl 0.123 0.734 0.277
14 Tl 0.266 0.723 0.877
15 Tl 0.277 0.123 0.734
16 Tl 0.723 0.877 0.266
17 Tl 0.734 0.277 0.123
18 Tl 0.877 0.266 0.723
19 Ag 0.000 0.000 0.000

Output
calculated total energy: -77.57 eV per cell
density of states at the Fermi level: 0.982 states/eV/atom
ΔE_f: -0.167 eV/atom
calculated volume: 31.64 A^3/atom